Computed, not measured: a geometry-optimized TlCu3GeSe4 structure at the PBE level of DFT.

Cell: 5.841 7.615 10.015 Å, 90.00 105.44 90.00°
Sites, in units of the cell vectors:
Tl (0.817, 0.750, 0.609)
Tl (0.183, 0.250, 0.391)
Se (0.358, 0.515, 0.782)
Se (0.043, 0.250, 0.004)
Se (0.642, 0.485, 0.218)
Se (0.642, 0.015, 0.218)
Se (0.358, 0.985, 0.782)
Se (0.796, 0.250, 0.575)
Se (0.204, 0.750, 0.425)
Se (0.957, 0.750, 0.996)
Cu (0.593, 0.250, 0.755)
Cu (0.696, 0.436, 0.978)
Cu (0.696, 0.064, 0.978)
Cu (0.304, 0.564, 0.022)
Cu (0.304, 0.936, 0.022)
Cu (0.407, 0.750, 0.245)
Ge (0.880, 0.750, 0.224)
Ge (0.120, 0.250, 0.776)

Output
Space-group type ... No. 11
E_tot ... -67.83 eV for the cell shown